{"formula": "Tm4Ru2Pt", "functional": "PBE-GGA", "state": "relaxed", "spacegroup": "No. 122", "ef_kcal_per_mol_atoms": -13.3, "e_tot_ev_per_atom": -6.645, "m_tot_mub_per_cell": 0.000, "polymorph_energy_mev_per_atom": 66, "lattice_angstrom": [[-4.236, 4.236, 4.232], [4.236, -4.236, 4.232], [4.236, 4.236, -4.232]], "species": ["Tm", "Tm", "Tm", "Tm", "Tm", "Tm", "Tm", "Tm", "Ru", "Ru", "Ru", "Ru", "Pt", "Pt"], "fractional_positions": [[0.118, 0.505, 0.747], [0.121, 0.008, 0.753], [0.255, 0.368, 0.247], [0.495, 0.242, 0.614], [0.629, 0.882, 0.386], [0.632, 0.879, 0.886], [0.758, 0.371, 0.253], [0.992, 0.745, 0.114], [0.375, 0.005, 0.130], [0.755, 0.625, 0.630], [0.875, 0.245, 0.870], [0.995, 0.125, 0.370], [0.250, 0.750, 0.500], [0.500, 0.500, 0.000]]}


{"formula": "Tb3Sm2Tm", "functional": "PBE-GGA", "state": "relaxed", "spacegroup": "No. 15", "ef_kcal_per_mol_atoms": 3.7, "e_tot_ev_per_atom": -4.473, "m_tot_mub_per_cell": 0.000, "polymorph_energy_mev_per_atom": 96, "lattice_angstrom": [[7.439, -4.819, 0.000], [7.439, 4.819, 0.000], [-2.411, 0.000, 5.508]], "species": ["Tb", "Tb", "Tb", "Tb", "Tb", "Tb", "Sm", "Sm", "Sm", "Sm", "Tm", "Tm"], "fractional_positions": [[0.110, 0.890, 0.750], [0.185, 0.352, 0.504], [0.352, 0.185, 0.004], [0.648, 0.815, 0.996], [0.815, 0.648, 0.496], [0.890, 0.110, 0.250], [0.086, 0.648, 0.123], [0.352, 0.914, 0.377], [0.648, 0.086, 0.623], [0.914, 0.352, 0.877], [0.500, 0.500, 0.000], [0.500, 0.500, 0.500]]}


{"formula": "LaNdHo2Tm4", "functional": "PBE-GGA", "state": "relaxed", "spacegroup": "No. 12", "ef_kcal_per_mol_atoms": 0.5, "e_tot_ev_per_atom": -4.569, "m_tot_mub_per_cell": 0.000, "lattice_angstrom": [[6.152, -3.556, 0.000], [6.152, 3.556, 0.000], [-4.094, 0.000, 11.562]], "species": ["La", "La", "Nd", "Nd", "Ho", "Ho", "Ho", "Ho", "Tm", "Tm", "Tm", "Tm", "Tm", "Tm", "Tm", "Tm"], "fractional_positions": [[0.000, 0.500, 0.000], [0.500, 0.000, 0.000], [0.000, 0.000, 0.000], [0.000, 0.000, 0.500], [0.000, 0.500, 0.500], [0.500, 0.000, 0.500], [0.500, 0.500, 0.000], [0.500, 0.500, 0.500], [0.249, 0.249, 0.746], [0.249, 0.748, 0.747], [0.251, 0.251, 0.254], [0.252, 0.751, 0.253], [0.748, 0.249, 0.747], [0.749, 0.749, 0.746], [0.751, 0.252, 0.253], [0.751, 0.751, 0.254]]}


{"formula": "PrSbAu", "functional": "PBE-GGA", "state": "relaxed", "spacegroup": "No. 156", "e_form_raw_ev_per_atom": -0.86, "e_tot_ev_per_atom": -4.915, "m_tot_mub_per_cell": 0.000, "lattice_angstrom": [[4.610, 0.000, 0.000], [-2.305, 3.992, 0.000], [0.000, 0.000, 4.356]], "species": ["Pr", "Sb", "Au"], "fractional_positions": [[0.000, 0.000, 0.000], [0.333, 0.667, 0.462], [0.667, 0.333, 0.607]]}


{"formula": "Cd2CoSe", "functional": "PBE-GGA", "state": "relaxed", "spacegroup": "No. 122", "e_form_raw_ev_per_atom": 0.38, "e_tot_ev_per_atom": -2.723, "m_tot_mub_per_cell": 5.314, "lattice_angstrom": [[7.722, 0.000, 0.000], [0.000, 7.722, 0.000], [0.000, 0.000, 5.486]], "species": ["Cd", "Cd", "Cd", "Cd", "Cd", "Cd", "Cd", "Cd", "Co", "Co", "Co", "Co", "Se", "Se", "Se", "Se"], "fractional_positions": [[0.236, 0.250, 0.125], [0.250, 0.736, 0.375], [0.250, 0.764, 0.875], [0.264, 0.250, 0.625], [0.736, 0.750, 0.625], [0.750, 0.236, 0.875], [0.750, 0.264, 0.375], [0.764, 0.750, 0.125], [0.000, 0.000, 0.000], [0.000, 0.500, 0.250], [0.500, 0.000, 0.750], [0.500, 0.500, 0.500], [0.000, 0.000, 0.500], [0.000, 0.500, 0.750], [0.500, 0.000, 0.250], [0.500, 0.500, 0.000]]}


{"formula": "RbYAu3", "functional": "PBE-GGA", "state": "relaxed", "spacegroup": "No. 221", "ef_kcal_per_mol_atoms": -3.7, "e_tot_ev_per_atom": -3.614, "m_tot_mub_per_cell": 0.000, "polymorph_energy_mev_per_atom": 0, "lattice_angstrom": [[5.620, 0.000, 0.000], [0.000, 5.620, 0.000], [0.000, 0.000, 5.620]], "species": ["Rb", "Y", "Au", "Au", "Au"], "fractional_positions": [[0.000, 0.000, 0.000], [0.500, 0.500, 0.500], [0.000, 0.500, 0.500], [0.500, 0.000, 0.500], [0.500, 0.500, 0.000]]}


{"formula": "Pm3Si2Au5", "functional": "PBE-GGA", "state": "relaxed", "spacegroup": "No. 72", "e_form_raw_ev_per_atom": -0.51, "e_tot_ev_per_atom": -4.658, "m_tot_mub_per_cell": 0.000, "lattice_angstrom": [[-5.089, 7.279, 3.126], [5.089, -7.279, 3.126], [5.089, 7.279, -3.126]], "species": ["Pm", "Pm", "Pm", "Pm", "Pm", "Pm", "Si", "Si", "Si", "Si", "Au", "Au", "Au", "Au", "Au", "Au", "Au", "Au", "Au", "Au"], "fractional_positions": [[0.158, 0.710, 0.868], [0.250, 0.250, 0.000], [0.342, 0.210, 0.552], [0.658, 0.790, 0.448], [0.750, 0.750, 0.000], [0.842, 0.290, 0.132], [0.130, 0.159, 0.289], [0.370, 0.659, 0.029], [0.630, 0.341, 0.971], [0.870, 0.841, 0.711], [0.038, 0.250, 0.788], [0.143, 0.394, 0.537], [0.250, 0.750, 0.500], [0.357, 0.894, 0.251], [0.462, 0.250, 0.212], [0.538, 0.750, 0.788], [0.643, 0.106, 0.749], [0.750, 0.250, 0.500], [0.857, 0.606, 0.463], [0.962, 0.750, 0.212]]}


{"formula": "SmThTlGa", "functional": "PBE-GGA", "state": "relaxed", "spacegroup": "No. 216", "ef_kcal_per_mol_atoms": -6.8, "e_tot_ev_per_atom": -4.680, "m_tot_mub_per_cell": 0.000, "lattice_angstrom": [[7.587, 0.000, 0.000], [0.000, 7.587, 0.000], [0.000, 0.000, 7.587]], "species": ["Sm", "Sm", "Sm", "Sm", "Th", "Th", "Th", "Th", "Tl", "Tl", "Tl", "Tl", "Ga", "Ga", "Ga", "Ga"], "fractional_positions": [[0.000, 0.000, 0.000], [0.000, 0.500, 0.500], [0.500, 0.000, 0.500], [0.500, 0.500, 0.000], [0.000, 0.000, 0.500], [0.000, 0.500, 0.000], [0.500, 0.000, 0.000], [0.500, 0.500, 0.500], [0.250, 0.250, 0.250], [0.250, 0.750, 0.750], [0.750, 0.250, 0.750], [0.750, 0.750, 0.250], [0.250, 0.250, 0.750], [0.250, 0.750, 0.250], [0.750, 0.250, 0.250], [0.750, 0.750, 0.750]]}


{"formula": "YMnCd", "functional": "PBE-GGA", "state": "relaxed", "spacegroup": "No. 216", "ef_kcal_per_mol_atoms": 7.8, "e_tot_ev_per_atom": -5.177, "m_tot_mub_per_cell": 14.507, "lattice_angstrom": [[6.692, 0.000, 0.000], [0.000, 6.692, 0.000], [0.000, 0.000, 6.692]], "species": ["Y", "Y", "Y", "Y", "Mn", "Mn", "Mn", "Mn", "Cd", "Cd", "Cd", "Cd"], "fractional_positions": [[0.000, 0.000, 0.000], [0.000, 0.500, 0.500], [0.500, 0.000, 0.500], [0.500, 0.500, 0.000], [0.250, 0.250, 0.750], [0.250, 0.750, 0.250], [0.750, 0.250, 0.250], [0.750, 0.750, 0.750], [0.000, 0.000, 0.500], [0.000, 0.500, 0.000], [0.500, 0.000, 0.000], [0.500, 0.500, 0.500]]}


{"formula": "TbSm2Au", "functional": "PBE-GGA", "state": "relaxed", "spacegroup": "No. 63", "ef_kcal_per_mol_atoms": -8.5, "e_tot_ev_per_atom": -4.704, "m_tot_mub_per_cell": 0.001, "polymorph_energy_mev_per_atom": 45, "lattice_angstrom": [[4.991, 0.000, 0.000], [0.000, 12.018, 0.000], [0.000, 0.000, 7.939]], "species": ["Tb", "Tb", "Tb", "Tb", "Sm", "Sm", "Sm", "Sm", "Sm", "Sm", "Sm", "Sm", "Au", "Au", "Au", "Au"], "fractional_positions": [[0.000, 0.044, 0.250], [0.000, 0.956, 0.750], [0.500, 0.456, 0.750], [0.500, 0.544, 0.250], [0.000, 0.359, 0.033], [0.000, 0.359, 0.467], [0.000, 0.641, 0.533], [0.000, 0.641, 0.967], [0.500, 0.141, 0.533], [0.500, 0.141, 0.967], [0.500, 0.859, 0.033], [0.500, 0.859, 0.467], [0.000, 0.202, 0.750], [0.000, 0.798, 0.250], [0.500, 0.298, 0.250], [0.500, 0.702, 0.750]]}


{"formula": "Pa4P5C", "functional": "PBE-GGA", "state": "relaxed", "spacegroup": "No. 71", "ef_kcal_per_mol_atoms": -14.8, "e_tot_ev_per_atom": -8.066, "m_tot_mub_per_cell": 0.000, "lattice_angstrom": [[-1.945, 3.530, 8.242], [1.945, -3.530, 8.242], [1.945, 3.530, -8.242]], "species": ["Pa", "Pa", "Pa", "Pa", "P", "P", "P", "P", "P", "C"], "fractional_positions": [[0.200, 0.200, 0.000], [0.224, 0.500, 0.724], [0.776, 0.500, 0.276], [0.800, 0.800, 0.000], [0.098, 0.333, 0.765], [0.431, 0.667, 0.765], [0.500, 0.000, 0.500], [0.569, 0.333, 0.235], [0.902, 0.667, 0.235], [0.000, 0.000, 0.000]]}


{"formula": "USiC", "functional": "PBE-GGA", "state": "relaxed", "spacegroup": "No. 63", "e_form_raw_ev_per_atom": 0.20, "e_tot_ev_per_atom": -8.443, "m_tot_mub_per_cell": 0.002, "polymorph_energy_mev_per_atom": 115, "lattice_angstrom": [[3.113, 0.000, 0.000], [0.000, 15.238, 0.000], [0.000, 0.000, 3.683]], "species": ["U", "U", "U", "U", "Si", "Si", "Si", "Si", "C", "C", "C", "C"], "fractional_positions": [[0.000, 0.087, 0.250], [0.000, 0.913, 0.750], [0.500, 0.413, 0.750], [0.500, 0.587, 0.250], [0.000, 0.244, 0.750], [0.000, 0.756, 0.250], [0.500, 0.256, 0.250], [0.500, 0.744, 0.750], [0.000, 0.429, 0.250], [0.000, 0.571, 0.750], [0.500, 0.071, 0.750], [0.500, 0.929, 0.250]]}


{"formula": "CuAg2Cl", "functional": "PBE-GGA", "state": "relaxed", "spacegroup": "No. 12", "e_form_raw_ev_per_atom": 0.08, "e_tot_ev_per_atom": -2.830, "m_tot_mub_per_cell": 0.000, "polymorph_energy_mev_per_atom": 146, "lattice_angstrom": [[7.586, 0.000, 0.000], [0.000, 3.302, 0.000], [-1.129, 0.000, 6.156]], "species": ["Cu", "Cu", "Ag", "Ag", "Ag", "Ag", "Cl", "Cl"], "fractional_positions": [[0.000, 0.000, 0.000], [0.500, 0.500, 0.000], [0.239, 0.500, 0.207], [0.261, 0.000, 0.793], [0.739, 0.000, 0.207], [0.761, 0.500, 0.793], [0.000, 0.500, 0.500], [0.500, 0.000, 0.500]]}


{"formula": "SmHoRh", "functional": "PBE-GGA", "state": "relaxed", "spacegroup": "No. 2", "ef_kcal_per_mol_atoms": -12.1, "e_tot_ev_per_atom": -6.072, "m_tot_mub_per_cell": 0.000, "polymorph_energy_mev_per_atom": 21, "lattice_angstrom": [[3.467, 0.000, 0.000], [-1.722, 6.611, 0.000], [-0.013, -1.911, 6.738]], "species": ["Sm", "Sm", "Ho", "Ho", "Rh", "Rh"], "fractional_positions": [[0.130, 0.260, 0.066], [0.870, 0.740, 0.934], [0.129, 0.259, 0.563], [0.871, 0.741, 0.437], [0.496, 0.993, 0.262], [0.504, 0.007, 0.738]]}


{"formula": "Cr4NiSe", "functional": "PBE-GGA", "state": "relaxed", "spacegroup": "No. 216", "e_form_raw_ev_per_atom": 0.53, "e_tot_ev_per_atom": -7.428, "m_tot_mub_per_cell": 0.000, "lattice_angstrom": [[0.000, 3.374, 3.374], [3.374, 0.000, 3.374], [3.374, 3.374, 0.000]], "species": ["Cr", "Cr", "Cr", "Cr", "Ni", "Se"], "fractional_positions": [[0.122, 0.122, 0.122], [0.122, 0.122, 0.633], [0.122, 0.633, 0.122], [0.633, 0.122, 0.122], [0.750, 0.750, 0.750], [0.500, 0.500, 0.500]]}


{"formula": "UGa2Se6", "functional": "PBE-GGA", "state": "relaxed", "spacegroup": "No. 15", "e_form_raw_ev_per_atom": -0.58, "e_tot_ev_per_atom": -4.831, "m_tot_mub_per_cell": 0.373, "lattice_angstrom": [[6.486, -5.769, 0.000], [6.486, 5.769, 0.000], [-1.025, 0.000, 6.876]], "species": ["U", "U", "Ga", "Ga", "Ga", "Ga", "Se", "Se", "Se", "Se", "Se", "Se", "Se", "Se", "Se", "Se", "Se", "Se"], "fractional_positions": [[0.102, 0.898, 0.750], [0.898, 0.102, 0.250], [0.258, 0.391, 0.654], [0.391, 0.258, 0.154], [0.609, 0.742, 0.846], [0.742, 0.609, 0.346], [0.050, 0.190, 0.609], [0.117, 0.611, 0.841], [0.190, 0.050, 0.109], [0.279, 0.479, 0.345], [0.389, 0.883, 0.659], [0.479, 0.279, 0.845], [0.521, 0.721, 0.155], [0.611, 0.117, 0.341], [0.721, 0.521, 0.655], [0.810, 0.950, 0.891], [0.883, 0.389, 0.159], [0.950, 0.810, 0.391]]}